# UCoS2 | Alexandria | PBE | optimized geometry
data_UCoS2
_chemical_formula_sum 'U4 Co4 S8'
_space_group_name_H-M_alt 'P 1'
_space_group_IT_number 1
_space_group_name_Hall 'P 1'
_cell_length_a 7.9178
_cell_length_b 3.6107
_cell_length_c 9.8281
_cell_angle_alpha 90.00
_cell_angle_beta 90.00
_cell_angle_gamma 90.00
loop_
_atom_site_label
_atom_site_fract_x
_atom_site_fract_y
_atom_site_fract_z
_atom_site_occupancy
U1 0.2399 0.2500 0.2023 1
U2 0.2601 0.7500 0.7023 1
U3 0.7399 0.2500 0.2977 1
U4 0.7601 0.7500 0.7977 1
Co1 0.0608 0.2500 0.9228 1
Co2 0.4392 0.7500 0.4228 1
Co3 0.5608 0.2500 0.5772 1
Co4 0.9392 0.7500 0.0772 1
S1 0.0053 0.7500 0.2933 1
S2 0.2008 0.7500 0.9775 1
S3 0.2992 0.2500 0.4775 1
S4 0.4947 0.2500 0.7933 1
S5 0.5053 0.7500 0.2067 1
S6 0.7008 0.7500 0.5225 1
S7 0.7992 0.2500 0.0225 1
S8 0.9947 0.2500 0.7067 1
# Energy above the lowest structure with this stoichiometry   0.00 eV per formula unit
# Crystal system   orthorhombic
# Formation energy without anion corrections   -1.071 eV/atom



# Ba2Al3PdAu12 | Alexandria | PBE | optimized geometry
data_Ba2Al3PdAu12
_chemical_formula_sum 'Ba2 Al3 Pd1 Au12'
_space_group_name_H-M_alt 'P 1'
_space_group_IT_number 1
_space_group_name_Hall 'P 1'
_cell_length_a 8.4849
_cell_length_b 8.4849
_cell_length_c 8.4849
_cell_angle_alpha 62.74
_cell_angle_beta 62.74
_cell_angle_gamma 62.74
loop_
_atom_site_label
_atom_site_fract_x
_atom_site_fract_y
_atom_site_fract_z
_atom_site_occupancy
Ba1 0.1193 0.1193 0.1193 1
Ba2 0.8807 0.8807 0.8807 1
Al1 0.0000 0.5000 0.5000 1
Al2 0.5000 0.0000 0.5000 1
Al3 0.5000 0.5000 0.0000 1
Pd1 0.5000 0.5000 0.5000 1
Au1 0.1331 0.6152 0.6152 1
Au2 0.1528 0.1528 0.6203 1
Au3 0.1528 0.6203 0.1528 1
Au4 0.3797 0.8473 0.8472 1
Au5 0.3848 0.3848 0.8669 1
Au6 0.3848 0.8669 0.3848 1
Au7 0.6152 0.1331 0.6152 1
Au8 0.6152 0.6152 0.1331 1
Au9 0.6203 0.1528 0.1528 1
Au10 0.8472 0.3797 0.8472 1
Au11 0.8472 0.8472 0.3797 1
Au12 0.8669 0.3848 0.3848 1
# Formation enthalpy at 0 K   -3.19 eV per formula unit
# Crystal system   trigonal



# TcMo2W | Alexandria | PBE | optimized geometry
data_TcMo2W
_chemical_formula_sum 'Tc1 Mo2 W1'
_space_group_name_H-M_alt 'P 1'
_space_group_IT_number 1
_space_group_name_Hall 'P 1'
_cell_length_a 4.0892
_cell_length_b 2.7627
_cell_length_c 5.5891
_cell_angle_alpha 90.00
_cell_angle_beta 90.22
_cell_angle_gamma 90.00
loop_
_atom_site_label
_atom_site_fract_x
_atom_site_fract_y
_atom_site_fract_z
_atom_site_occupancy
Tc1 0.0000 0.0000 0.0000 1
Mo1 0.0002 0.0000 0.4982 1
Mo2 0.4999 0.5000 0.2447 1
W1 0.5003 0.5000 0.7563 1
# Energy above the lowest structure with this stoichiometry   1.11 eV per formula unit
# Formation enthalpy at 0 K   1.17 eV per formula unit
# Crystal system   monoclinic



# KLa2Sc | Alexandria | PBE | optimized geometry
data_KLa2Sc
_chemical_formula_sum 'K1 La2 Sc1'
_space_group_name_H-M_alt 'P 1'
_space_group_IT_number 1
_space_group_name_Hall 'P 1'
_cell_length_a 3.6448
_cell_length_b 3.6448
_cell_length_c 11.5804
_cell_angle_alpha 90.00
_cell_angle_beta 90.00
_cell_angle_gamma 90.00
loop_
_atom_site_label
_atom_site_fract_x
_atom_site_fract_y
_atom_site_fract_z
_atom_site_occupancy
K1 0.0000 0.0000 0.0000 1
La1 0.0000 0.0000 0.5357 1
La2 0.5000 0.5000 0.3136 1
Sc1 0.5000 0.5000 0.7240 1
# Energy above the lowest structure with this stoichiometry   0.32 eV per formula unit
# Formation enthalpy at 0 K   1.09 eV per formula unit
# Crystal system   tetragonal



# Ac5HgPb2 | Alexandria | PBE | optimized geometry
data_Ac5HgPb2
_chemical_formula_sum 'Ac10 Hg2 Pb4'
_space_group_name_H-M_alt 'P 1'
_space_group_IT_number 1
_space_group_name_Hall 'P 1'
_cell_length_a 10.0706
_cell_length_b 10.0706
_cell_length_c 10.0706
_cell_angle_alpha 128.08
_cell_angle_beta 128.08
_cell_angle_gamma 76.50
loop_
_atom_site_label
_atom_site_fract_x
_atom_site_fract_y
_atom_site_fract_z
_atom_site_occupancy
Ac1 0.0000 0.0000 0.0000 1
Ac2 0.0177 0.5177 0.8351 1
Ac3 0.1826 0.0177 0.5000 1
Ac4 0.3174 0.8174 0.8351 1
Ac5 0.4823 0.3174 0.5000 1
Ac6 0.5000 0.5000 0.0000 1
Ac7 0.5177 0.6826 0.5000 1
Ac8 0.6826 0.1826 0.1649 1
Ac9 0.8174 0.9823 0.5000 1
Ac10 0.9823 0.4823 0.1649 1
Hg1 0.2500 0.2500 0.0000 1
Hg2 0.7500 0.7500 0.0000 1
Pb1 0.1328 0.3672 0.5000 1
Pb2 0.3672 0.8672 0.2344 1
Pb3 0.6328 0.1328 0.7656 1
Pb4 0.8672 0.6328 0.5000 1
# Energy above the lowest structure with this stoichiometry   0.00 eV per formula unit
# Formation enthalpy at 0 K   -2.99 eV per formula unit
# Crystal system   tetragonal



# SrAlCl2 | Alexandria | PBE | optimized geometry
data_SrAlCl2
_chemical_formula_sum 'Sr2 Al2 Cl4'
_space_group_name_H-M_alt 'P 1'
_space_group_IT_number 1
_space_group_name_Hall 'P 1'
_cell_length_a 4.9991
_cell_length_b 4.9991
_cell_length_c 8.3441
_cell_angle_alpha 90.00
_cell_angle_beta 90.00
_cell_angle_gamma 90.00
loop_
_atom_site_label
_atom_site_fract_x
_atom_site_fract_y
_atom_site_fract_z
_atom_site_occupancy
Sr1 0.0000 0.0000 0.0000 1
Sr2 0.5000 0.5000 0.5000 1
Al1 0.0000 0.0000 0.5000 1
Al2 0.5000 0.5000 0.0000 1
Cl1 0.0000 0.5000 0.2500 1
Cl2 0.0000 0.5000 0.7500 1
Cl3 0.5000 0.0000 0.2500 1
Cl4 0.5000 0.0000 0.7500 1
# Energy above the lowest structure with this stoichiometry   0.80 eV per formula unit
# Crystal system   tetragonal
# Formation energy without anion corrections   -1.031 eV/atom



# Ce2MgAs4Ir3 | Alexandria | PBE | optimized geometry
data_Ce2MgAs4Ir3
_chemical_formula_sum 'Ce2 Mg1 As4 Ir3'
_space_group_name_H-M_alt 'P 1'
_space_group_IT_number 1
_space_group_name_Hall 'P 1'
_cell_length_a 4.3254
_cell_length_b 4.3254
_cell_length_c 10.2597
_cell_angle_alpha 90.00
_cell_angle_beta 90.00
_cell_angle_gamma 90.00
loop_
_atom_site_label
_atom_site_fract_x
_atom_site_fract_y
_atom_site_fract_z
_atom_site_occupancy
Ce1 0.0000 0.5000 0.2373 1
Ce2 0.5000 0.0000 0.7627 1
Mg1 0.0000 0.0000 0.5000 1
As1 0.0000 0.0000 0.0000 1
As2 0.0000 0.5000 0.6443 1
As3 0.5000 0.0000 0.3557 1
As4 0.5000 0.5000 0.0000 1
Ir1 0.0000 0.5000 0.8838 1
Ir2 0.5000 0.0000 0.1162 1
Ir3 0.5000 0.5000 0.5000 1
# Formation enthalpy at 0 K   -7.63 eV per formula unit
# Crystal system   tetragonal



# NaCeCd14 | Alexandria | PBE | optimized geometry
data_NaCeCd14
_chemical_formula_sum 'Na1 Ce1 Cd14'
_space_group_name_H-M_alt 'P 1'
_space_group_IT_number 1
_space_group_name_Hall 'P 1'
_cell_length_a 6.6563
_cell_length_b 6.6563
_cell_length_c 8.4827
_cell_angle_alpha 90.00
_cell_angle_beta 90.00
_cell_angle_gamma 90.00
loop_
_atom_site_label
_atom_site_fract_x
_atom_site_fract_y
_atom_site_fract_z
_atom_site_occupancy
Na1 0.0000 0.0000 0.0000 1
Ce1 0.5000 0.5000 0.0000 1
Cd1 0.0000 0.0000 0.5000 1
Cd2 0.0000 0.5000 0.0000 1
Cd3 0.0000 0.5000 0.5000 1
Cd4 0.2449 0.2449 0.2598 1
Cd5 0.2449 0.2449 0.7402 1
Cd6 0.2449 0.7551 0.2598 1
Cd7 0.2449 0.7551 0.7402 1
Cd8 0.5000 0.0000 0.0000 1
Cd9 0.5000 0.0000 0.5000 1
Cd10 0.5000 0.5000 0.5000 1
Cd11 0.7551 0.2449 0.2598 1
Cd12 0.7551 0.2449 0.7402 1
Cd13 0.7551 0.7551 0.2598 1
Cd14 0.7551 0.7551 0.7402 1
# Formation enthalpy at 0 K   -0.97 eV per formula unit
# Crystal system   tetragonal



# MgAgO3 | Alexandria | PBE | optimized geometry
data_MgAgO3
_chemical_formula_sum 'Mg1 Ag1 O3'
_space_group_name_H-M_alt 'P 1'
_space_group_IT_number 1
_space_group_name_Hall 'P 1'
_cell_length_a 3.8899
_cell_length_b 3.8899
_cell_length_c 3.8899
_cell_angle_alpha 90.00
_cell_angle_beta 90.00
_cell_angle_gamma 90.00
loop_
_atom_site_label
_atom_site_fract_x
_atom_site_fract_y
_atom_site_fract_z
_atom_site_occupancy
Mg1 0.0000 0.0000 0.0000 1
Ag1 0.5000 0.5000 0.5000 1
O1 0.0000 0.0000 0.5000 1
O2 0.0000 0.5000 0.0000 1
O3 0.5000 0.0000 0.0000 1
# Crystal system   cubic
# Formation energy without anion corrections   -0.460 eV/atom



# PrPaTl2O8 | Alexandria | PBE | optimized geometry
data_PrPaTl2O8
_chemical_formula_sum 'Pr1 Pa1 Tl2 O8'
_space_group_name_H-M_alt 'P 1'
_space_group_IT_number 1
_space_group_name_Hall 'P 1'
_cell_length_a 6.3320
_cell_length_b 6.3320
_cell_length_c 6.3320
_cell_angle_alpha 111.56
_cell_angle_beta 111.56
_cell_angle_gamma 105.38
loop_
_atom_site_label
_atom_site_fract_x
_atom_site_fract_y
_atom_site_fract_z
_atom_site_occupancy
Pr1 0.0000 0.0000 0.0000 1
Pa1 0.7500 0.2500 0.5000 1
Tl1 0.2500 0.7500 0.5000 1
Tl2 0.5000 0.5000 0.0000 1
O1 0.0195 0.3529 0.3333 1
O2 0.0195 0.6862 0.6667 1
O3 0.0898 0.2827 0.8071 1
O4 0.3138 0.9805 0.3333 1
O5 0.4755 0.2827 0.1929 1
O6 0.6471 0.9805 0.6667 1
O7 0.7173 0.5245 0.8071 1
O8 0.7173 0.9102 0.1929 1
# Crystal system   tetragonal
# Formation energy without anion corrections   -1.771 eV/atom



no.,final energy (eV per atom)
1,-7.73
2,-3.49
3,-10.95
4,-4.05
5,-3.91
6,-3.31
7,-6.63
8,-1.31
9,-4.32
10,-6.66